[1]
CrCo2HRu (PBE, optimized geometry); relative energy among the computed polymorphs = 1.8 kJ/mol of atoms; DOS(E_F) = 1.077 states/eV per atom; VASP energy = -7.22 eV/atom
1.0
3.578 0.000 0.000
0.000 3.578 0.000
0.000 0.000 3.787
Cr Co H Ru
1 2 1 1
Cartesian
0.000 0.000 0.000
0.000 1.789 1.894
1.789 0.000 1.894
1.789 1.789 1.894
1.789 1.789 0.000


[2]
Cr2CoHRu (PBE, optimized geometry); relative energy among the computed polymorphs = 0.0 kJ/mol of atoms; DOS(E_F) = 0.935 states/eV per atom; VASP energy = -7.77 eV/atom
1.0
3.713 0.000 0.000
0.000 3.713 0.000
0.000 0.000 3.585
Cr Co H Ru
2 1 1 1
Cartesian
0.000 1.857 0.000
1.857 0.000 0.000
0.000 0.000 1.792
0.000 0.000 0.000
1.857 1.857 1.792


[3]
Cr2CoHRu (PBE, optimized geometry); relative energy among the computed polymorphs = 5.6 kJ/mol of atoms; DOS(E_F) = 0.927 states/eV per atom; VASP energy = -7.71 eV/atom
1.0
3.678 0.000 0.000
0.000 3.678 0.000
0.000 0.000 3.702
Cr Co H Ru
2 1 1 1
Cartesian
0.000 1.839 0.000
1.839 0.000 0.000
0.000 0.000 1.851
1.839 1.839 0.000
1.839 1.839 1.851


[4]
CrCo2HRu (PBE, optimized geometry); relative energy among the computed polymorphs = 0.0 kJ/mol of atoms; DOS(E_F) = 1.050 states/eV per atom; VASP energy = -7.24 eV/atom
1.0
3.563 0.000 0.000
0.000 3.563 0.000
0.000 0.000 3.786
Cr Co H Ru
1 2 1 1
Cartesian
0.000 0.000 0.000
0.000 1.781 1.893
1.781 0.000 1.893
0.000 0.000 1.893
1.781 1.781 0.000


[5]
Cr2CoSbH (PBE, optimized geometry); DOS(E_F) = 0.763 states/eV per atom; VASP energy = -6.67 eV/atom
1.0
3.881 0.000 0.000
0.000 3.881 0.000
0.000 0.000 3.829
Cr Co Sb H
2 1 1 1
Cartesian
0.000 1.940 0.000
1.940 0.000 0.000
0.000 0.000 1.915
1.940 1.940 1.915
0.000 0.000 0.000


[6]
Sc2CrCoH (PBE, optimized geometry); DOS(E_F) = 0.494 states/eV per atom; VASP energy = -6.69 eV/atom
1.0
4.535 0.000 0.000
0.000 4.535 0.000
0.000 0.000 3.338
Sc Cr Co H
2 1 1 1
Cartesian
0.000 2.267 0.000
2.267 0.000 0.000
0.000 0.000 1.669
2.267 2.267 1.669
2.267 2.267 0.000


[7]
CrCo2SnH (PBE, optimized geometry); DOS(E_F) = 0.926 states/eV per atom; VASP energy = -6.22 eV/atom
1.0
3.885 0.000 0.000
0.000 3.885 0.000
0.000 0.000 3.704
Cr Co Sn H
1 2 1 1
Cartesian
0.000 0.000 0.000
0.000 1.942 1.852
1.942 0.000 1.852
1.942 1.942 0.000
0.000 0.000 1.852


[8]
Ta2CrCoH (PBE, optimized geometry); relative energy among the computed polymorphs = 5.8 kJ/mol of atoms; DOS(E_F) = 0.780 states/eV per atom; VASP energy = -8.77 eV/atom
1.0
4.262 0.000 0.000
0.000 4.262 0.000
0.000 0.000 3.355
Ta Cr Co H
2 1 1 1
Cartesian
0.000 2.131 0.000
2.131 0.000 0.000
0.000 0.000 1.678
2.131 2.131 1.678
0.000 0.000 0.000


[9]
TaCr2CoH (PBE, optimized geometry); DOS(E_F) = 1.316 states/eV per atom; VASP energy = -8.23 eV/atom
1.0
3.674 0.000 0.000
0.000 3.674 0.000
0.000 0.000 3.992
Ta Cr Co H
1 2 1 1
Cartesian
0.000 0.000 0.000
0.000 1.837 1.996
1.837 0.000 1.996
1.837 1.837 0.000
1.837 1.837 1.996


[10]
Ta2CrCoH (PBE, optimized geometry); relative energy among the computed polymorphs = 0.0 kJ/mol of atoms; DOS(E_F) = 0.788 states/eV per atom; VASP energy = -8.83 eV/atom
1.0
4.284 0.000 0.000
0.000 4.284 0.000
0.000 0.000 3.292
Ta Cr Co H
2 1 1 1
Cartesian
0.000 2.142 0.000
2.142 0.000 0.000
0.000 0.000 1.646
2.142 2.142 1.646
2.142 2.142 0.000


[11]
CrCo2TcH (PBE, optimized geometry); relative energy among the computed polymorphs = 2.1 kJ/mol of atoms; DOS(E_F) = 0.801 states/eV per atom; VASP energy = -7.46 eV/atom
1.0
3.562 0.000 0.000
0.000 3.562 0.000
0.000 0.000 3.854
Cr Co Tc H
1 2 1 1
Cartesian
0.000 0.000 0.000
0.000 1.781 1.927
1.781 0.000 1.927
1.781 1.781 0.000
1.781 1.781 1.927


[12]
CrCoTc2H (PBE, optimized geometry); relative energy among the computed polymorphs = 2.9 kJ/mol of atoms; DOS(E_F) = 0.948 states/eV per atom; VASP energy = -8.07 eV/atom
1.0
3.831 0.000 0.000
0.000 3.831 0.000
0.000 0.000 3.679
Cr Co Tc H
1 1 2 1
Cartesian
0.000 0.000 0.000
1.916 1.916 0.000
0.000 1.916 1.840
1.916 0.000 1.840
0.000 0.000 1.840


| no. | theoretical density (Mg/m³) |
| --- | --- |
| 1 | 9.3 |
| 2 | 8.9 |
| 3 | 8.8 |
| 4 | 9.4 |
| 5 | 8.2 |
| 6 | 4.9 |
| 7 | 8.6 |
| 8 | 12.9 |
| 9 | 10.6 |
| 10 | 13.0 |
| 11 | 9.1 |
| 12 | 9.5 |